Computed, not measured: a crystal of LiTi3H relaxed with PBEsol at the meta-GGA SCAN level of DFT.

Properties
Electronic total energy ... -10.71 eV per atom

```
data_LiTi3H
_cell_length_a 4.0369
_cell_length_b 4.0369
_cell_length_c 4.0369
_cell_angle_alpha 90.00
_cell_angle_beta 90.00
_cell_angle_gamma 90.00
_space_group_name_H-M_alt 'P 1'
_space_group_IT_number 1
loop_
_space_group_symop_operation_xyz
'x,y,z'
loop_
_atom_site_label
_atom_site_type_symbol
_atom_site_fract_x
_atom_site_fract_y
_atom_site_fract_z
Li1 Li 0.0000 0.0000 0.0000
Ti1 Ti 0.0000 0.5000 0.5000
Ti2 Ti 0.5000 0.0000 0.5000
Ti3 Ti 0.5000 0.5000 0.0000
H1 H 0.5000 0.5000 0.5000
```

Computed, not measured: a crystal of Zr2Zn3Ga3 relaxed with PBEsol at the meta-GGA SCAN level of DFT.

Properties
Formation energy from the elements ... -0.56 eV/atom

```
data_Zr2Zn3Ga3
_cell_length_a 3.9632
_cell_length_b 4.0021
_cell_length_c 8.0965
_cell_angle_alpha 90.00
_cell_angle_beta 90.00
_cell_angle_gamma 90.00
_space_group_name_H-M_alt 'P 1'
_space_group_IT_number 1
loop_
_space_group_symop_operation_xyz
'x,y,z'
loop_
_atom_site_label
_atom_site_type_symbol
_atom_site_fract_x
_atom_site_fract_y
_atom_site_fract_z
Zr1 Zr 0.0000 0.0000 0.2459
Zr2 Zr 0.0000 0.0000 0.7541
Zn1 Zn 0.0000 0.5000 0.0000
Zn2 Zn 0.0000 0.5000 0.5000
Zn3 Zn 0.5000 0.0000 0.5000
Ga1 Ga 0.5000 0.0000 0.0000
Ga2 Ga 0.5000 0.5000 0.2591
Ga3 Ga 0.5000 0.5000 0.7409
```

Computed, not measured: a crystal of La2BeBr relaxed with PBEsol at the meta-GGA SCAN level of DFT.

Properties
ΔE_f (raw) ... -63.05 kJ per mole of atoms
Excess energy over the best structure of this formula in the dataset ... 0.0 meV per atom

```
data_La2BeBr
_cell_length_a 3.9583
_cell_length_b 4.4926
_cell_length_c 6.0009
_cell_angle_alpha 90.00
_cell_angle_beta 90.00
_cell_angle_gamma 90.00
_space_group_name_H-M_alt 'P 1'
_space_group_IT_number 1
loop_
_space_group_symop_operation_xyz
'x,y,z'
loop_
_atom_site_label
_atom_site_type_symbol
_atom_site_fract_x
_atom_site_fract_y
_atom_site_fract_z
La1 La 0.0000 0.0000 0.0000
La2 La 0.5000 0.5000 0.5000
Be1 Be 0.0000 0.0000 0.5000
Br1 Br 0.5000 0.5000 0.0000
```

Computed, not measured: a crystal of BeAg relaxed with PBEsol at the meta-GGA SCAN level of DFT.

Properties
Formation energy from the elements ... 0.09 eV/atom

```
data_BeAg
_cell_length_a 4.7878
_cell_length_b 4.7878
_cell_length_c 3.8355
_cell_angle_alpha 90.00
_cell_angle_beta 90.00
_cell_angle_gamma 145.89
_space_group_name_H-M_alt 'P 1'
_space_group_IT_number 1
loop_
_space_group_symop_operation_xyz
'x,y,z'
loop_
_atom_site_label
_atom_site_type_symbol
_atom_site_fract_x
_atom_site_fract_y
_atom_site_fract_z
Be1 Be 0.0683 0.9317 0.7500
Be2 Be 0.9317 0.0683 0.2500
Ag1 Ag 0.3440 0.6560 0.7500
Ag2 Ag 0.6560 0.3440 0.2500
```

Computed, not measured: a crystal of ZnAg2Pt relaxed with PBEsol at the meta-GGA SCAN level of DFT.

Properties
Formation energy from the elements ... 0.00 eV/atom

```
data_ZnAg2Pt
_cell_length_a 2.7457
_cell_length_b 2.7457
_cell_length_c 9.2698
_cell_angle_alpha 90.00
_cell_angle_beta 90.00
_cell_angle_gamma 117.95
_space_group_name_H-M_alt 'P 1'
_space_group_IT_number 1
loop_
_space_group_symop_operation_xyz
'x,y,z'
loop_
_atom_site_label
_atom_site_type_symbol
_atom_site_fract_x
_atom_site_fract_y
_atom_site_fract_z
Zn1 Zn 0.0000 0.0000 0.0000
Ag1 Ag 0.5000 0.5000 0.2418
Ag2 Ag 0.5000 0.5000 0.7582
Pt1 Pt 0.0000 0.0000 0.5000
```

Computed, not measured: a crystal of CoPH2 relaxed with PBEsol at the meta-GGA SCAN level of DFT.

Properties
Electronic total energy ... -8.10 eV per atom

```
data_CoPH2
_cell_length_a 6.5350
_cell_length_b 6.5350
_cell_length_c 6.5350
_cell_angle_alpha 151.79
_cell_angle_beta 151.79
_cell_angle_gamma 40.32
_space_group_name_H-M_alt 'P 1'
_space_group_IT_number 1
loop_
_space_group_symop_operation_xyz
'x,y,z'
loop_
_atom_site_label
_atom_site_type_symbol
_atom_site_fract_x
_atom_site_fract_y
_atom_site_fract_z
Co1 Co 0.0000 0.0000 0.0000
Co2 Co 0.7500 0.2500 0.5000
P1 P 0.2500 0.7500 0.5000
P2 P 0.5000 0.5000 0.0000
H1 H 0.0566 0.6250 0.9316
H2 H 0.3750 0.3066 0.4316
H3 H 0.6934 0.1250 0.0684
H4 H 0.8750 0.9434 0.5684
```

Computed, not measured: a crystal of Ta2P relaxed with PBEsol at the meta-GGA SCAN level of DFT.

Properties
Formation energy from the elements ... -0.16 eV/atom

```
data_Ta2P
_cell_length_a 4.4893
_cell_length_b 4.4893
_cell_length_c 5.3010
_cell_angle_alpha 90.00
_cell_angle_beta 90.00
_cell_angle_gamma 120.00
_space_group_name_H-M_alt 'P 1'
_space_group_IT_number 1
loop_
_space_group_symop_operation_xyz
'x,y,z'
loop_
_atom_site_label
_atom_site_type_symbol
_atom_site_fract_x
_atom_site_fract_y
_atom_site_fract_z
Ta1 Ta 0.0000 0.0000 0.0000
Ta2 Ta 0.0000 0.0000 0.5000
Ta3 Ta 0.3333 0.6667 0.2500
Ta4 Ta 0.6667 0.3333 0.7500
P1 P 0.3333 0.6667 0.7500
P2 P 0.6667 0.3333 0.2500
```

Computed, not measured: a crystal of Zr2Ir3 relaxed with PBEsol at the meta-GGA SCAN level of DFT.

Properties
Formation energy from the elements ... -0.92 eV/atom

```
data_Zr2Ir3
_cell_length_a 7.1815
_cell_length_b 5.3353
_cell_length_c 7.9012
_cell_angle_alpha 62.20
_cell_angle_beta 41.09
_cell_angle_gamma 76.71
_space_group_name_H-M_alt 'P 1'
_space_group_IT_number 1
loop_
_space_group_symop_operation_xyz
'x,y,z'
loop_
_atom_site_label
_atom_site_type_symbol
_atom_site_fract_x
_atom_site_fract_y
_atom_site_fract_z
Zr1 Zr 0.2229 0.7771 0.3721
Zr2 Zr 0.6221 0.8779 0.4729
Zr3 Zr 0.7771 0.2229 0.6279
Zr4 Zr 0.8779 0.6221 0.0271
Ir1 Ir 0.1861 0.8698 0.0257
Ir2 Ir 0.2243 0.3315 0.0639
Ir3 Ir 0.3315 0.2243 0.3802
Ir4 Ir 0.3941 0.3941 0.6059
Ir5 Ir 0.6441 0.6441 0.8559
Ir6 Ir 0.8698 0.1861 0.9185
```

Computed, not measured: a crystal of FeCoAg2 relaxed with PBEsol at the meta-GGA SCAN level of DFT.

Properties
Formation energy from the elements ... 0.37 eV/atom

```
data_FeCoAg2
_cell_length_a 3.7308
_cell_length_b 3.7308
_cell_length_c 3.9712
_cell_angle_alpha 90.00
_cell_angle_beta 90.00
_cell_angle_gamma 90.00
_space_group_name_H-M_alt 'P 1'
_space_group_IT_number 1
loop_
_space_group_symop_operation_xyz
'x,y,z'
loop_
_atom_site_label
_atom_site_type_symbol
_atom_site_fract_x
_atom_site_fract_y
_atom_site_fract_z
Fe1 Fe 0.0000 0.0000 0.0000
Co1 Co 0.5000 0.5000 0.0000
Ag1 Ag 0.0000 0.5000 0.5000
Ag2 Ag 0.5000 0.0000 0.5000
```

Computed, not measured: a crystal of Dy2RuRh relaxed with PBEsol at the meta-GGA SCAN level of DFT.

Properties
Formation energy from the elements ... -0.74 eV/atom

```
data_Dy2RuRh
_cell_length_a 4.7368
_cell_length_b 4.7368
_cell_length_c 4.7368
_cell_angle_alpha 60.00
_cell_angle_beta 60.00
_cell_angle_gamma 60.00
_space_group_name_H-M_alt 'P 1'
_space_group_IT_number 1
loop_
_space_group_symop_operation_xyz
'x,y,z'
loop_
_atom_site_label
_atom_site_type_symbol
_atom_site_fract_x
_atom_site_fract_y
_atom_site_fract_z
Dy1 Dy 0.2500 0.2500 0.2500
Dy2 Dy 0.7500 0.7500 0.7500
Ru1 Ru 0.0000 0.0000 0.0000
Rh1 Rh 0.5000 0.5000 0.5000
```

Computed, not measured: a crystal of BeAlW2 relaxed with PBEsol at the meta-GGA SCAN level of DFT.

Properties
Formation energy from the elements ... 0.07 eV/atom

```
data_BeAlW2
_cell_length_a 4.2879
_cell_length_b 4.2879
_cell_length_c 4.2879
_cell_angle_alpha 60.00
_cell_angle_beta 60.00
_cell_angle_gamma 60.00
_space_group_name_H-M_alt 'P 1'
_space_group_IT_number 1
loop_
_space_group_symop_operation_xyz
'x,y,z'
loop_
_atom_site_label
_atom_site_type_symbol
_atom_site_fract_x
_atom_site_fract_y
_atom_site_fract_z
Be1 Be 0.0000 0.0000 0.0000
Al1 Al 0.2500 0.2500 0.2500
W1 W 0.5000 0.5000 0.5000
W2 W 0.7500 0.7500 0.7500
```

Computed, not measured: a crystal of Ca2LaPt relaxed with PBEsol at the meta-GGA SCAN level of DFT.

Properties
Formation energy from the elements ... -0.40 eV/atom
Excess energy over the best structure of this formula in the dataset ... 285.8 meV per atom

```
data_Ca2LaPt
_cell_length_a 5.2299
_cell_length_b 5.2299
_cell_length_c 5.2299
_cell_angle_alpha 60.00
_cell_angle_beta 60.00
_cell_angle_gamma 60.00
_space_group_name_H-M_alt 'P 1'
_space_group_IT_number 1
loop_
_space_group_symop_operation_xyz
'x,y,z'
loop_
_atom_site_label
_atom_site_type_symbol
_atom_site_fract_x
_atom_site_fract_y
_atom_site_fract_z
Ca1 Ca 0.0000 0.0000 0.0000
Ca2 Ca 0.2500 0.2500 0.2500
La1 La 0.5000 0.5000 0.5000
Pt1 Pt 0.7500 0.7500 0.7500
```

Computed, not measured: a crystal of Li2TlSb relaxed with PBEsol at the meta-GGA SCAN level of DFT.

Properties
ΔE_f (raw) ... -43.61 kJ per mole of atoms

```
data_Li2TlSb
_cell_length_a 4.9125
_cell_length_b 4.9125
_cell_length_c 4.9125
_cell_angle_alpha 60.00
_cell_angle_beta 60.00
_cell_angle_gamma 60.00
_space_group_name_H-M_alt 'P 1'
_space_group_IT_number 1
loop_
_space_group_symop_operation_xyz
'x,y,z'
loop_
_atom_site_label
_atom_site_type_symbol
_atom_site_fract_x
_atom_site_fract_y
_atom_site_fract_z
Li1 Li 0.2500 0.2500 0.2500
Li2 Li 0.7500 0.7500 0.7500
Tl1 Tl 0.0000 0.0000 0.0000
Sb1 Sb 0.5000 0.5000 0.5000
```

Computed, not measured: a crystal of BeTeRu relaxed with PBEsol at the meta-GGA SCAN level of DFT.

Properties
ΔE_f (raw) ... 23.10 kJ per mole of atoms

```
data_BeTeRu
_cell_length_a 3.9497
_cell_length_b 3.9497
_cell_length_c 3.4134
_cell_angle_alpha 90.00
_cell_angle_beta 90.00
_cell_angle_gamma 120.00
_space_group_name_H-M_alt 'P 1'
_space_group_IT_number 1
loop_
_space_group_symop_operation_xyz
'x,y,z'
loop_
_atom_site_label
_atom_site_type_symbol
_atom_site_fract_x
_atom_site_fract_y
_atom_site_fract_z
Be1 Be 0.0000 0.0000 0.0000
Te1 Te 0.3333 0.6667 0.5000
Ru1 Ru 0.6667 0.3333 0.0000
```

| no. | size of the total moment (μB per formula unit) |
| --- | --- |
| 1 | 0.0 |
| 2 | 0.0 |
| 3 | 0.0 |
| 4 | 0.0 |
| 5 | 0.0 |
| 6 | 0.0 |
| 7 | 0.0 |
| 8 | 0.0 |
| 9 | 4.9 |
| 10 | 0.0 |
| 11 | 0.0 |
| 12 | 0.0 |
| 13 | 0.0 |
| 14 | 0.0 |